First-principles (PBE with a Hubbard U) data for a relaxed structure of SrCrOs2O8, as listed in the Alexandria database.

Computed properties:
Electronic total energy = -7.227 eV/atom

a b c (Å): 5.4984 5.4984 7.0868
angles (deg): 90.00 90.00 120.00
Closest atoms and distances in Å follow each position.
Element x y z (fractional)
Cr: 0.0000 0.0000 0.5000  6 O 2.03
O: 0.0543 0.3043 0.6847  1 Os 1.83, 1 Cr 2.03
Sr: 0.0000 0.0000 0.0000  6 O 2.72
O: 0.3333 0.6667 0.9847  1 Os 1.81
O: 0.3043 0.2500 0.3153  1 Os 1.83, 1 Cr 2.03
O: 0.9457 0.6957 0.3153  1 Os 1.83, 1 Cr 2.03
O: 0.2500 0.9457 0.6847  1 Os 1.83, 1 Cr 2.03
O: 0.6957 0.7500 0.6847  1 Os 1.83, 1 Cr 2.03
O: 0.7500 0.0543 0.3153  1 Os 1.83, 1 Cr 2.03
Os: 0.3333 0.6667 0.7286  4 O 1.81-1.83
O: 0.6667 0.3333 0.0153  1 Os 1.81
Os: 0.6667 0.3333 0.2714  4 O 1.81-1.83

***

First-principles (PBE with a Hubbard U) data for a relaxed structure of Sr2CrOsO6, as listed in the Alexandria database.

Computed properties:
Electronic total energy = -7.265 eV/atom

a b c (Å): 5.6055 5.5826 5.6009
angles (deg): 120.12 119.69 90.30
Closest atoms and distances in Å follow each position.
Element x y z (fractional)
O: 0.7993 0.7515 0.0539  1 Os 1.98, 1 Cr 2.01
Cr: 0.0000 0.0000 0.0000  6 O 2.01
O: 0.7314 0.2346 0.0166  1 Os 1.98, 1 Cr 2.01
O: 0.2880 0.2710 0.5032  1 Os 1.98, 1 Cr 2.01
O: 0.2686 0.7654 0.9834  1 Os 1.98, 1 Cr 2.01
Os: 0.5000 0.5000 0.0000  6 O 1.98
O: 0.2007 0.2485 0.9461  1 Os 1.98, 1 Cr 2.01
Sr: 0.7479 0.2501 0.4975  7 O 2.54-2.82
O: 0.7120 0.7290 0.4968  1 Os 1.98, 1 Cr 2.01
Sr: 0.2521 0.7499 0.5025  7 O 2.54-2.82

***

First-principles (PBE with a Hubbard U) data for a relaxed structure of Ta2CrOsO, as listed in the Alexandria database.

Computed properties:
Electronic total energy = -9.546 eV/atom

a b c (Å): 4.1992 4.2041 4.1992
angles (deg): 90.00 90.00 90.00
Closest atoms and distances in Å follow each position.
Element x y z (fractional)
Ta: 0.5000 0.0000 0.0000  2 O 2.10
O: 0.0000 0.0000 0.0000  4 Ta 2.10, 2 Os 2.10
Cr: 0.5000 0.5000 0.5000  4 Os 2.97, 8 Ta 2.97
Ta: 0.0000 0.0000 0.5000  2 O 2.10
Os: 0.0000 0.5000 0.0000  2 O 2.10

***

electronic total energy of number 3 (Ta2CrOsO)?
-9.546 eV/atom

***

The lowest electronic total energy belongs to which entry?
Ta2CrOsO